# Nd12Fe3H5 | Alexandria via LeMat-Bulk | PBE | relaxed
# - space-group type = No. 230
# - VASP energy (eV per atom) = -5.02
data_Nd12Fe3H5
_chemical_formula_sum 'Nd48 Fe12 H20'
_cell_length_a 13.366
_cell_length_b 13.366
_cell_length_c 13.366
_cell_angle_alpha 109.47
_cell_angle_beta 109.47
_cell_angle_gamma 109.47
_space_group_name_H-M_alt 'P 1'
_space_group_IT_number 1
_space_group_name_Hall 'P 1'
loop_
_atom_site_label
_atom_site_fract_x
_atom_site_fract_y
_atom_site_fract_z
H1 0.125 0.375 0.250
H2 0.000 0.500 0.000
H3 0.000 0.000 0.000
H4 0.375 0.250 0.125
H5 0.500 0.000 0.500
H6 0.500 0.500 0.000
H7 0.125 0.750 0.375
H8 0.750 0.125 0.875
H9 0.750 0.625 0.375
H10 0.375 0.125 0.750
H11 0.625 0.875 0.250
H12 0.500 0.500 0.500
H13 0.500 0.000 0.000
H14 0.000 0.000 0.500
H15 0.250 0.375 0.625
H16 0.250 0.875 0.125
H17 0.000 0.500 0.500
H18 0.875 0.250 0.625
H19 0.625 0.750 0.875
H20 0.875 0.625 0.750
Nd1 0.720 0.124 0.033
Nd2 0.313 0.533 0.409
Nd3 0.967 0.376 0.280
Nd4 0.533 0.220 0.124
Nd5 0.596 0.720 0.687
Nd6 0.967 0.591 0.187
Nd7 0.313 0.780 0.404
Nd8 0.091 0.904 0.124
Nd9 0.591 0.967 0.687
Nd10 0.720 0.596 0.187
Nd11 0.780 0.467 0.376
Nd12 0.813 0.909 0.033
Nd13 0.124 0.720 0.533
Nd14 0.376 0.409 0.096
Nd15 0.096 0.909 0.376
Nd16 0.404 0.124 0.591
Nd17 0.096 0.187 0.220
Nd18 0.467 0.687 0.091
Nd19 0.813 0.904 0.280
Nd20 0.124 0.404 0.091
Nd21 0.376 0.967 0.780
Nd22 0.591 0.624 0.404
Nd23 0.909 0.813 0.533
Nd24 0.780 0.313 0.904
Nd25 0.409 0.376 0.596
Nd26 0.091 0.187 0.467
Nd27 0.220 0.687 0.096
Nd28 0.187 0.096 0.720
Nd29 0.624 0.033 0.220
Nd30 0.876 0.596 0.909
Nd31 0.533 0.313 0.909
Nd32 0.596 0.876 0.409
Nd33 0.904 0.813 0.780
Nd34 0.904 0.091 0.624
Nd35 0.876 0.280 0.467
Nd36 0.187 0.091 0.967
Nd37 0.624 0.591 0.904
Nd38 0.409 0.033 0.313
Nd39 0.280 0.404 0.813
Nd40 0.220 0.533 0.624
Nd41 0.909 0.096 0.876
Nd42 0.687 0.220 0.596
Nd43 0.467 0.780 0.876
Nd44 0.033 0.409 0.813
Nd45 0.404 0.280 0.313
Nd46 0.033 0.624 0.720
Nd47 0.687 0.467 0.591
Nd48 0.280 0.876 0.967
Fe1 0.750 0.375 0.125
Fe2 0.875 0.750 0.125
Fe3 0.375 0.750 0.625
Fe4 0.250 0.125 0.375
Fe5 0.875 0.125 0.250
Fe6 0.375 0.625 0.250
Fe7 0.625 0.375 0.750
Fe8 0.125 0.875 0.750
Fe9 0.750 0.875 0.625
Fe10 0.625 0.250 0.375
Fe11 0.125 0.250 0.875
Fe12 0.250 0.625 0.875

=====

# NdFeH6 | Alexandria via LeMat-Bulk | PBE | relaxed
# - space-group type = No. 225
# - offset from the most stable computed form (eV/atom) = 0.301
# - VASP energy (eV per atom) = -4.11
data_NdFeH6
_chemical_formula_sum 'Nd1 Fe1 H6'
_cell_length_a 5.262
_cell_length_b 5.262
_cell_length_c 5.262
_cell_angle_alpha 60.00
_cell_angle_beta 60.00
_cell_angle_gamma 60.00
_space_group_name_H-M_alt 'P 1'
_space_group_IT_number 1
_space_group_name_Hall 'P 1'
loop_
_atom_site_label
_atom_site_fract_x
_atom_site_fract_y
_atom_site_fract_z
Nd1 0.500 0.500 0.500
Fe1 0.000 0.000 0.000
H1 0.792 0.792 0.208
H2 0.792 0.208 0.208
H3 0.208 0.792 0.792
H4 0.208 0.208 0.792
H5 0.208 0.792 0.208
H6 0.792 0.208 0.792

=====

# NdFeH5 | Alexandria via LeMat-Bulk | PBE | relaxed
# - space-group type = No. 71
# - VASP energy (eV per atom) = -4.59
data_NdFeH5
_chemical_formula_sum 'Nd2 Fe2 H10'
_cell_length_a 4.521
_cell_length_b 4.521
_cell_length_c 7.175
_cell_angle_alpha 66.62
_cell_angle_beta 66.62
_cell_angle_gamma 65.30
_space_group_name_H-M_alt 'P 1'
_space_group_IT_number 1
_space_group_name_Hall 'P 1'
loop_
_atom_site_label
_atom_site_fract_x
_atom_site_fract_y
_atom_site_fract_z
Nd1 0.500 0.500 0.750
Nd2 0.500 0.500 0.250
Fe1 0.000 0.000 0.000
Fe2 0.000 0.000 0.500
H1 0.398 0.926 0.919
H2 0.398 0.926 0.419
H3 0.926 0.398 0.419
H4 0.000 0.000 0.750
H5 0.074 0.602 0.081
H6 0.926 0.398 0.919
H7 0.000 0.000 0.250
H8 0.074 0.602 0.581
H9 0.602 0.074 0.581
H10 0.602 0.074 0.081

=====

# NdFeH | Alexandria via LeMat-Bulk | PBE | relaxed
# - space-group type = No. 166
# - VASP energy (eV per atom) = -5.73
data_NdFeH
_chemical_formula_sum 'Nd2 Fe2 H2'
_cell_length_a 3.854
_cell_length_b 3.854
_cell_length_c 7.931
_cell_angle_alpha 75.94
_cell_angle_beta 75.94
_cell_angle_gamma 60.00
_space_group_name_H-M_alt 'P 1'
_space_group_IT_number 1
_space_group_name_Hall 'P 1'
loop_
_atom_site_label
_atom_site_fract_x
_atom_site_fract_y
_atom_site_fract_z
H1 0.301 0.301 0.098
H2 0.699 0.699 0.902
Nd1 0.594 0.594 0.218
Nd2 0.406 0.406 0.782
Fe1 0.833 0.833 0.500
Fe2 0.167 0.167 0.500

=====

# NdFeH3 | Alexandria via LeMat-Bulk | PBE | relaxed
# - space-group type = No. 221
# - VASP energy (eV per atom) = -4.99
data_NdFeH3
_chemical_formula_sum 'Nd1 Fe1 H3'
_cell_length_a 3.640
_cell_length_b 3.640
_cell_length_c 3.640
_cell_angle_alpha 90.00
_cell_angle_beta 90.00
_cell_angle_gamma 90.00
_space_group_name_H-M_alt 'P 1'
_space_group_IT_number 1
_space_group_name_Hall 'P 1'
loop_
_atom_site_label
_atom_site_fract_x
_atom_site_fract_y
_atom_site_fract_z
H1 0.000 0.500 0.000
H2 0.000 0.000 0.500
H3 0.500 0.000 0.000
Nd1 0.500 0.500 0.500
Fe1 0.000 0.000 0.000

=====

# NdFeH6 | Alexandria via LeMat-Bulk | PBE | relaxed
# - space-group type = No. 166
# - offset from the most stable computed form (eV/atom) = 0.000
# - VASP energy (eV per atom) = -4.41
data_NdFeH6
_chemical_formula_sum 'Nd1 Fe1 H6'
_cell_length_a 4.530
_cell_length_b 4.530
_cell_length_c 4.466
_cell_angle_alpha 59.53
_cell_angle_beta 59.53
_cell_angle_gamma 60.00
_space_group_name_H-M_alt 'P 1'
_space_group_IT_number 1
_space_group_name_Hall 'P 1'
loop_
_atom_site_label
_atom_site_fract_x
_atom_site_fract_y
_atom_site_fract_z
Nd1 0.500 0.500 0.500
Fe1 0.000 0.000 0.000
H1 0.101 0.101 0.217
H2 0.101 0.581 0.217
H3 0.419 0.899 0.783
H4 0.899 0.419 0.783
H5 0.899 0.899 0.783
H6 0.581 0.101 0.217

=====

# NdFe2H8 | Alexandria via LeMat-Bulk | PBE | relaxed
# - space-group type = No. 8
# - VASP energy (eV per atom) = -4.57
data_NdFe2H8
_chemical_formula_sum 'Nd1 Fe2 H8'
_cell_length_a 4.420
_cell_length_b 4.489
_cell_length_c 4.489
_cell_angle_alpha 119.32
_cell_angle_beta 89.22
_cell_angle_gamma 89.22
_space_group_name_H-M_alt 'P 1'
_space_group_IT_number 1
_space_group_name_Hall 'P 1'
loop_
_atom_site_label
_atom_site_fract_x
_atom_site_fract_y
_atom_site_fract_z
Nd1 0.078 0.063 0.063
Fe1 0.566 0.677 0.338
Fe2 0.566 0.338 0.677
H1 0.332 0.017 0.576
H2 0.332 0.576 0.017
H3 0.777 0.600 0.600
H4 0.905 0.215 0.647
H5 0.905 0.647 0.215
H6 0.326 0.533 0.533
H7 0.607 0.286 0.015
H8 0.607 0.015 0.286

=====

# NdFePH | Alexandria via LeMat-Bulk | PBE | relaxed
# - space-group type = No. 129
# - VASP energy (eV per atom) = -6.41
data_NdFePH
_chemical_formula_sum 'Nd2 Fe2 P2 H2'
_cell_length_a 3.821
_cell_length_b 3.821
_cell_length_c 7.900
_cell_angle_alpha 90.00
_cell_angle_beta 90.00
_cell_angle_gamma 90.00
_space_group_name_H-M_alt 'P 1'
_space_group_IT_number 1
_space_group_name_Hall 'P 1'
loop_
_atom_site_label
_atom_site_fract_x
_atom_site_fract_y
_atom_site_fract_z
Nd1 0.500 0.000 0.680
Nd2 0.000 0.500 0.320
Fe1 0.500 0.500 0.000
Fe2 0.000 0.000 0.000
P1 0.000 0.500 0.857
P2 0.500 0.000 0.143
H1 0.000 0.000 0.500
H2 0.500 0.500 0.500

=====

# NdFeH6Pd | Alexandria via LeMat-Bulk | PBE | relaxed
# - space-group type = No. 187
# - VASP energy (eV per atom) = -4.57
data_NdFeH6Pd
_chemical_formula_sum 'Nd1 Fe1 H6 Pd1'
_cell_length_a 4.607
_cell_length_b 4.607
_cell_length_c 4.312
_cell_angle_alpha 90.00
_cell_angle_beta 90.00
_cell_angle_gamma 60.00
_space_group_name_H-M_alt 'P 1'
_space_group_IT_number 1
_space_group_name_Hall 'P 1'
loop_
_atom_site_label
_atom_site_fract_x
_atom_site_fract_y
_atom_site_fract_z
Nd1 0.000 0.000 0.000
Fe1 0.333 0.333 0.500
H1 0.036 0.482 0.239
H2 0.482 0.036 0.761
H3 0.482 0.482 0.761
H4 0.036 0.482 0.761
H5 0.482 0.482 0.239
H6 0.482 0.036 0.239
Pd1 0.667 0.667 0.500

=====

# Fe2NiH4 | Alexandria via LeMat-Bulk | PBE | relaxed
# - space-group type = No. 139
# - VASP energy (eV per atom) = -5.00
data_Fe2NiH4
_chemical_formula_sum 'Fe2 Ni1 H4'
_cell_length_a 3.993
_cell_length_b 3.993
_cell_length_c 3.993
_cell_angle_alpha 100.84
_cell_angle_beta 113.95
_cell_angle_gamma 113.95
_space_group_name_H-M_alt 'P 1'
_space_group_IT_number 1
_space_group_name_Hall 'P 1'
loop_
_atom_site_label
_atom_site_fract_x
_atom_site_fract_y
_atom_site_fract_z
Fe1 0.500 0.250 0.750
Fe2 0.500 0.750 0.250
Ni1 0.000 0.000 0.000
H1 0.000 0.265 0.735
H2 0.000 0.735 0.265
H3 0.529 0.265 0.265
H4 0.471 0.735 0.735

=====

# FeNiH | Alexandria via LeMat-Bulk | PBE | relaxed
# - space-group type = No. 107
# - VASP energy (eV per atom) = -5.67
data_FeNiH
_chemical_formula_sum 'Fe1 Ni1 H1'
_cell_length_a 2.509
_cell_length_b 2.509
_cell_length_c 4.524
_cell_angle_alpha 106.10
_cell_angle_beta 106.10
_cell_angle_gamma 90.00
_space_group_name_H-M_alt 'P 1'
_space_group_IT_number 1
_space_group_name_Hall 'P 1'
loop_
_atom_site_label
_atom_site_fract_x
_atom_site_fract_y
_atom_site_fract_z
Ni1 0.958 0.958 0.917
Fe1 0.671 0.671 0.342
H1 0.221 0.221 0.441

=====

# Fe2NiH2 | Alexandria via LeMat-Bulk | PBE | relaxed
# - space-group type = No. 127
# - offset from the most stable computed form (eV/atom) = 0.103
# - VASP energy (eV per atom) = -5.69
data_Fe2NiH2
_chemical_formula_sum 'Fe4 Ni2 H4'
_cell_length_a 5.524
_cell_length_b 5.524
_cell_length_c 2.549
_cell_angle_alpha 90.00
_cell_angle_beta 90.00
_cell_angle_gamma 90.00
_space_group_name_H-M_alt 'P 1'
_space_group_IT_number 1
_space_group_name_Hall 'P 1'
loop_
_atom_site_label
_atom_site_fract_x
_atom_site_fract_y
_atom_site_fract_z
Ni1 0.000 0.000 0.000
Ni2 0.500 0.500 0.000
Fe1 0.151 0.651 0.500
Fe2 0.651 0.849 0.500
Fe3 0.849 0.349 0.500
Fe4 0.349 0.151 0.500
H1 0.343 0.843 0.000
H2 0.843 0.657 0.000
H3 0.657 0.157 0.000
H4 0.157 0.343 0.000

=====

# FeNi2H4 | Alexandria via LeMat-Bulk | PBE | relaxed
# - space-group type = No. 63
# - VASP energy (eV per atom) = -4.74
data_FeNi2H4
_chemical_formula_sum 'Fe2 Ni4 H8'
_cell_length_a 2.619
_cell_length_b 4.500
_cell_length_c 7.816
_cell_angle_alpha 90.00
_cell_angle_beta 90.00
_cell_angle_gamma 106.92
_space_group_name_H-M_alt 'P 1'
_space_group_IT_number 1
_space_group_name_Hall 'P 1'
loop_
_atom_site_label
_atom_site_fract_x
_atom_site_fract_y
_atom_site_fract_z
Fe1 0.601 0.201 0.750
Fe2 0.399 0.799 0.250
Ni1 0.135 0.269 0.436
Ni2 0.865 0.731 0.936
Ni3 0.135 0.269 0.064
Ni4 0.865 0.731 0.564
H1 0.769 0.537 0.125
H2 0.769 0.537 0.375
H3 0.231 0.463 0.875
H4 0.231 0.463 0.625
H5 0.958 0.917 0.750
H6 0.042 0.083 0.250
H7 0.500 0.000 0.000
H8 0.500 0.000 0.500

=====

# FeNi5H4 | Alexandria via LeMat-Bulk | PBE | relaxed
# - space-group type = No. 12
# - VASP energy (eV per atom) = -5.10
data_FeNi5H4
_chemical_formula_sum 'Fe1 Ni5 H4'
_cell_length_a 2.583
_cell_length_b 5.173
_cell_length_c 5.839
_cell_angle_alpha 102.86
_cell_angle_beta 102.78
_cell_angle_gamma 90.00
_space_group_name_H-M_alt 'P 1'
_space_group_IT_number 1
_space_group_name_Hall 'P 1'
loop_
_atom_site_label
_atom_site_fract_x
_atom_site_fract_y
_atom_site_fract_z
Fe1 0.500 0.000 0.000
Ni1 0.168 0.339 0.337
Ni2 0.166 0.830 0.333
Ni3 0.834 0.170 0.667
Ni4 0.500 0.500 0.000
Ni5 0.832 0.661 0.663
H1 0.675 0.095 0.349
H2 0.001 0.264 0.002
H3 0.325 0.905 0.651
H4 0.999 0.736 0.998

=====

# Fe2Ni3H8 | Alexandria via LeMat-Bulk | PBE | relaxed
# - space-group type = No. 10
# - VASP energy (eV per atom) = -4.63
data_Fe2Ni3H8
_chemical_formula_sum 'Fe2 Ni3 H8'
_cell_length_a 2.526
_cell_length_b 8.754
_cell_length_c 4.497
_cell_angle_alpha 108.27
_cell_angle_beta 90.00
_cell_angle_gamma 90.00
_space_group_name_H-M_alt 'P 1'
_space_group_IT_number 1
_space_group_name_Hall 'P 1'
loop_
_atom_site_label
_atom_site_fract_x
_atom_site_fract_y
_atom_site_fract_z
Fe1 0.500 0.254 0.483
Fe2 0.500 0.746 0.517
Ni1 0.500 0.000 0.000
Ni2 0.000 0.261 0.987
Ni3 0.000 0.739 0.013
H1 0.000 0.636 0.275
H2 0.000 0.364 0.725
H3 0.000 0.113 0.248
H4 0.000 0.887 0.752
H5 0.500 0.636 0.786
H6 0.500 0.144 0.775
H7 0.500 0.856 0.225
H8 0.500 0.364 0.214

=====

# Fe2NiH | Alexandria via LeMat-Bulk | PBE | relaxed
# - space-group type = No. 166
# - offset from the most stable computed form (eV/atom) = 0.288
# - VASP energy (eV per atom) = -6.24
data_Fe2NiH
_chemical_formula_sum 'Fe2 Ni1 H1'
_cell_length_a 2.527
_cell_length_b 2.527
_cell_length_c 7.167
_cell_angle_alpha 79.85
_cell_angle_beta 79.85
_cell_angle_gamma 60.00
_space_group_name_H-M_alt 'P 1'
_space_group_IT_number 1
_space_group_name_Hall 'P 1'
loop_
_atom_site_label
_atom_site_fract_x
_atom_site_fract_y
_atom_site_fract_z
Ni1 0.000 0.000 0.000
Fe1 0.111 0.111 0.668
Fe2 0.889 0.889 0.332
H1 0.500 0.500 0.500

=====

# Fe2NiH | Alexandria via LeMat-Bulk | PBE | relaxed
# - space-group type = No. 139
# - offset from the most stable computed form (eV/atom) = 0.127
# - VASP energy (eV per atom) = -6.40
data_Fe2NiH
_chemical_formula_sum 'Fe4 Ni2 H2'
_cell_length_a 2.526
_cell_length_b 2.526
_cell_length_c 10.639
_cell_angle_alpha 90.00
_cell_angle_beta 90.00
_cell_angle_gamma 90.00
_space_group_name_H-M_alt 'P 1'
_space_group_IT_number 1
_space_group_name_Hall 'P 1'
loop_
_atom_site_label
_atom_site_fract_x
_atom_site_fract_y
_atom_site_fract_z
Fe1 0.000 0.000 0.680
Fe2 0.000 0.000 0.320
Fe3 0.500 0.500 0.180
Fe4 0.500 0.500 0.820
Ni1 0.000 0.000 0.000
Ni2 0.500 0.500 0.500
H1 0.000 0.000 0.500
H2 0.500 0.500 0.000

=====

# FeNiH2 | Alexandria via LeMat-Bulk | PBE | relaxed
# - space-group type = No. 166
# - VASP energy (eV per atom) = -5.13
data_FeNiH2
_chemical_formula_sum 'Fe1 Ni1 H2'
_cell_length_a 2.651
_cell_length_b 2.651
_cell_length_c 5.081
_cell_angle_alpha 74.88
_cell_angle_beta 74.88
_cell_angle_gamma 60.00
_space_group_name_H-M_alt 'P 1'
_space_group_IT_number 1
_space_group_name_Hall 'P 1'
loop_
_atom_site_label
_atom_site_fract_x
_atom_site_fract_y
_atom_site_fract_z
Ni1 0.500 0.500 0.500
Fe1 0.000 0.000 0.000
H1 0.117 0.117 0.650
H2 0.883 0.883 0.350

=====

# Fe5NiH4 | Alexandria via LeMat-Bulk | PBE | relaxed
# - space-group type = No. 12
# - VASP energy (eV per atom) = -6.14
data_Fe5NiH4
_chemical_formula_sum 'Fe5 Ni1 H4'
_cell_length_a 2.590
_cell_length_b 5.198
_cell_length_c 5.991
_cell_angle_alpha 77.41
_cell_angle_beta 102.49
_cell_angle_gamma 90.00
_space_group_name_H-M_alt 'P 1'
_space_group_IT_number 1
_space_group_name_Hall 'P 1'
loop_
_atom_site_label
_atom_site_fract_x
_atom_site_fract_y
_atom_site_fract_z
Fe1 0.834 0.824 0.667
Fe2 0.835 0.342 0.670
Fe3 0.165 0.658 0.330
Fe4 0.500 0.500 0.000
Fe5 0.166 0.176 0.333
Ni1 0.500 0.000 0.000
H1 0.329 0.087 0.657
H2 0.999 0.741 0.998
H3 0.671 0.913 0.343
H4 0.001 0.259 0.002

=====

# Fe5Ni3H3 | Alexandria via LeMat-Bulk | PBE | relaxed
# - space-group type = No. 189
# - VASP energy (eV per atom) = -6.26
data_Fe5Ni3H3
_chemical_formula_sum 'Fe5 Ni3 H3'
_cell_length_a 2.461
_cell_length_b 6.915
_cell_length_c 6.915
_cell_angle_alpha 120.00
_cell_angle_beta 90.00
_cell_angle_gamma 90.00
_space_group_name_H-M_alt 'P 1'
_space_group_IT_number 1
_space_group_name_Hall 'P 1'
loop_
_atom_site_label
_atom_site_fract_x
_atom_site_fract_y
_atom_site_fract_z
Fe1 0.500 0.667 0.333
Fe2 0.500 0.333 0.667
Fe3 0.500 0.305 0.000
Fe4 0.500 0.695 0.695
Fe5 0.500 0.000 0.305
Ni1 0.000 0.642 0.000
Ni2 0.000 0.000 0.642
Ni3 0.000 0.358 0.358
H1 0.500 0.811 0.000
H2 0.500 0.189 0.189
H3 0.500 0.000 0.811